Entry from Alexandria: a relaxed structure of LaZrAl2C (PBE-GGA).

Values from the calculation:
Formation energy (eV per atom): 0.3247
DOS at the Fermi energy (states/eV per cell): 4.78

abc: 4.3337 5.0437 4.3337
angles: 90.00 90.00 90.00
Last column: nearest neighbours and their distance in Å.
Positions (direct):
Zr 0.5000 0.5000 0.5000  4 La 3.06, 8 Al 3.32
C 0.0000 0.0000 0.0000  4 Al 2.17
Al 0.0000 0.0000 0.5000  2 C 2.17
Al 0.5000 0.0000 0.0000  2 C 2.17
La 0.0000 0.5000 0.0000  2 C 2.52

---

Entry from Alexandria: a relaxed structure of Co2SbOs2 (PBE-GGA).

Values from the calculation:
Formation energy (no corrections) (kJ per mole of atoms): 48.4
DOS at the Fermi energy (states/eV per cell): 11.05

abc: 7.3502 7.3502 2.7551
angles: 90.00 90.00 90.00
Last column: nearest neighbours and their distance in Å.
Positions (direct):
Sb 0.5000 0.5000 0.0000  2 Sb 2.76, 4 Os 2.90, 8 Co 3.07
Co 0.8352 0.3352 0.5000  6 Os 2.56-2.57, 2 Co 2.76
Os 0.6264 0.1264 0.0000  6 Co 2.56-2.57, 3 Os 2.63-2.76
Co 0.1648 0.6648 0.5000  6 Os 2.56-2.57, 2 Co 2.76
Sb 0.0000 0.0000 0.0000  2 Sb 2.76, 4 Os 2.90, 8 Co 3.07
Os 0.1264 0.3736 0.0000  6 Co 2.56-2.57, 3 Os 2.63-2.76
Os 0.3736 0.8736 0.0000  6 Co 2.56-2.57, 3 Os 2.63-2.76
Os 0.8736 0.6264 0.0000  6 Co 2.56-2.57, 3 Os 2.63-2.76
Co 0.3352 0.1648 0.5000  6 Os 2.56-2.57, 2 Co 2.76
Co 0.6648 0.8352 0.5000  6 Os 2.56-2.57, 2 Co 2.76

---

Entry from Alexandria: a relaxed structure of Nd3Cu2Ag (PBE-GGA).

Values from the calculation:
Formation energy (eV per atom): -0.1778
DOS at the Fermi energy (states/eV per cell): 5.01

abc: 3.6276 3.6276 11.0768
angles: 90.00 90.00 90.00
Last column: nearest neighbours and their distance in Å.
Positions (direct):
Ag 0.5000 0.5000 0.5000  8 Nd 3.24
Cu 0.5000 0.5000 0.1624  8 Nd 3.12-3.13
Nd 0.0000 0.0000 0.6780  4 Cu 3.12, 4 Ag 3.24
Cu 0.5000 0.5000 0.8376  8 Nd 3.12-3.13
Nd 0.0000 0.0000 0.3220  4 Cu 3.12, 4 Ag 3.24
Nd 0.0000 0.0000 0.0000  8 Cu 3.13

---

Entry from Alexandria: a relaxed structure of TaCoRe3 (PBE-GGA).

Values from the calculation:
Formation energy (eV per atom): 2.6969
DOS at the Fermi energy (states/eV per cell): 9.07

abc: 4.7004 4.7004 4.7004
angles: 90.00 90.00 90.00
Last column: nearest neighbours and their distance in Å.
Positions (direct):
Re 0.0000 0.0000 0.5000  2 Ta 2.35
Re 0.0000 0.5000 0.0000  2 Ta 2.35
Re 0.5000 0.0000 0.0000  2 Ta 2.35
Co 0.5000 0.5000 0.5000  12 Re 3.32
Ta 0.0000 0.0000 0.0000  6 Re 2.35

---

- Look up the DOS at the Fermi energy of the first one.
  4.78 states/eV per cell